# TeAu4Se

Crystalline TeAu4Se at its relaxed geometry (GGA-PBE, Alexandria via LeMat-Bulk).

Properties
DFT total energy (eV per formula unit): -17.97
DOS(E_F) (states/eV per cell): 3.6
Total magnetization (μB/f.u.): 0.000

a b c (Å): 5.625 5.625 5.625
angles (deg): 60.00 60.00 60.00
Fractional coordinates of all 6 atoms:
Te1 0.000 0.000 0.000
Au1 0.125 0.625 0.625
Au2 0.625 0.125 0.625
Au3 0.625 0.625 0.125
Au4 0.625 0.625 0.625
Se1 0.250 0.250 0.250